[1]
BaLi6Pb6 | PBE-GGA | relaxed

Cell and atoms, written as POSCAR:
```
BaLi6Pb6
1.0
-2.1647 3.3072 4.6886
-4.6296 -4.1547 4.8035
4.5004 -0.4780 6.4254
Ba Li Pb
1 6 6
Direct
0.0000 0.0000 0.0000 Ba
0.0000 0.5000 0.0000 Li
0.5000 0.5000 0.0000 Li
0.0000 0.0000 0.5000 Li
0.5000 0.0000 0.5000 Li
0.5000 0.7558 0.2442 Li
0.5000 0.2442 0.7558 Li
0.3452 0.6548 0.6548 Pb
0.6548 0.3452 0.3452 Pb
0.0000 0.3498 0.6502 Pb
0.0000 0.6502 0.3498 Pb
0.3160 0.1840 0.1840 Pb
0.6839 0.8161 0.8161 Pb
```

---

[2]
BaLi2Pb2 | PBE-GGA | relaxed

Properties
relative energy among the computed polymorphs	0.000	eV per atom

Cell and atoms, written as POSCAR:
```
BaLi2Pb2
1.0
-3.2760 0.1410 -3.7001
-3.6775 -0.7005 3.2293
-3.9998 5.6408 0.4533
Pb Ba Li
2 1 2
Direct
0.3742 0.3742 0.2515 Pb
0.6258 0.6258 0.7485 Pb
0.0000 0.0000 0.0000 Ba
0.7500 0.2500 0.5000 Li
0.2500 0.7500 0.5000 Li
```

---

[3]
BaLi2Pb | PBE-GGA | relaxed

Cell and atoms, written as POSCAR:
```
BaLi2Pb
1.0
3.9571 0.0000 0.0000
0.0000 3.9550 0.0000
0.0000 0.0000 7.6575
Ba Li Pb
1 2 1
Direct
0.5000 0.5000 0.7500 Ba
0.0000 0.0000 0.0694 Li
0.0000 0.0000 0.4306 Li
0.5000 0.5000 0.2500 Pb
```

---

| no. | DFT formation energy (eV/atom) | total moment (μB per cell) |
| --- | --- | --- |
| 1 | -0.302 | 0.00 |
| 2 | -0.397 | 0.00 |
| 3 | -0.149 | 0.00 |